This record from Alexandria describes MnBr after structural relaxation. The functional is PBE.

As for the uncorrected formation energy: 0.50 eV per formula unit.

Unit cell a=5.5344 b=5.5344 c=5.5344 alpha=90.00 beta=90.00 gamma=90.00
Space group Fm-3m (No. 225)
One atom of each set of equivalent atoms:
Mn 0.0000 0.0000 0.0000 (multiplicity 4)
Br 0.0000 0.0000 0.5000 (multiplicity 4)